NpCu2Te3: optimized geometry, PBE-GGA.

Summary:
distance to the lowest polymorph of the same formula: 0 meV per atom
electronic total energy: -5.40 eV per atom
crystal system: monoclinic
volume: 351.11 Å³/cell
uncorrected formation energy: -29.2 kJ/mol of atoms

abc: 4.2498 7.7984 11.2294
angles: 109.36 90.00 90.00
Last column: magnetic moment on the atom in μB.
Fractional coordinates of all 12 atoms:
1 Te 0.2500 0.4503 0.1598  -0.12
2 Te 0.2500 0.2622 0.5154  -0.09
3 Np 0.2500 0.8428 0.3144  3.62
4 Te 0.2500 0.0499 0.8433  -0.12
5 Np 0.7500 0.1572 0.6856  3.62
6 Te 0.7500 0.7378 0.4846  -0.09
7 Te 0.7500 0.5497 0.8402  -0.12
8 Cu 0.2500 0.8576 0.6099  -0.03
9 Cu 0.7500 0.5858 0.0829  -0.09
10 Te 0.7500 0.9501 0.1567  -0.12
11 Cu 0.2500 0.4142 0.9171  -0.09
12 Cu 0.7500 0.1424 0.3901  -0.03


Tl2InBiBr6: optimized geometry, PBE-GGA.

Summary:
electronic total energy: -2.93 eV per atom
crystal system: trigonal
volume: 406.64 Å³/cell
uncorrected formation energy: -75.9 kJ/mol of atoms

abc: 8.1534 8.1523 8.4882
angles: 61.30 61.31 60.00
Fractional coordinates of all 10 atoms:
1 Br 0.1102 0.4485 0.7750
2 Tl 0.5279 0.5277 0.4168
3 Br 0.6663 0.1100 0.7752
4 Br 0.9844 0.5713 0.2536
5 Br 0.1907 0.9844 0.2537
6 Br 0.5711 0.1907 0.2537
7 Br 0.4485 0.6663 0.7750
8 Bi 0.3233 0.3232 0.0302
9 Tl 0.0215 0.0217 0.9352
10 In 0.8177 0.8177 0.5470